Ni3OF5 | GGA+U | optimized geometry

Properties
* DFT total energy: -0.3145 Ry per atom
* symmetry: No. 1
* E above lowest polymorph: 0 meV/atom

Unit cell a=5.623 b=5.632 c=7.327 alpha=72.38 beta=72.33 gamma=72.36
Atoms (fractional coordinates):
1 Ni 0.000 0.000 0.000
2 Ni 0.006 0.997 0.506
3 Ni 0.322 0.321 0.671
4 Ni 0.331 0.325 0.179
5 Ni 0.667 0.660 0.337
6 Ni 0.676 0.645 0.837
7 O 0.230 0.225 0.470
8 O 0.972 0.351 0.836
9 F 0.029 0.633 0.168
10 F 0.100 0.094 0.206
11 F 0.305 0.689 0.506
12 F 0.371 0.952 0.837
13 F 0.432 0.419 0.876
14 F 0.567 0.556 0.136
15 F 0.636 0.022 0.172
16 F 0.695 0.297 0.509
17 F 0.773 0.763 0.537
18 F 0.900 0.888 0.803